A relaxed LiCuMo crystal. Source: Alexandria via LeMat-Bulk, functional PBE.

Cell lengths 2.5614, 4.2486, 7.7823 Å; angles 90.00, 92.25, 90.00 degrees
With the nearest neighbours (Å) after each atom.
Space group P2_1/m (No. 11)
Inequivalent atoms, fractional coordinates:
Li 0.2041 0.2500 0.0679 (multiplicity 2)  6 Li 2.56-2.84, 4 Cu 2.59-2.85, 1 Mo 2.86
Cu 0.3863 0.7500 0.2504 (multiplicity 2)  2 Cu 2.56, 4 Li 2.59-2.85, 5 Mo 2.71-2.85
Mo 0.1569 0.7500 0.5889 (multiplicity 2)  4 Mo 2.56-2.64, 5 Cu 2.71-2.85, 1 Li 2.86

Results
Density of states at the Fermi level = 1.7 states/eV/f.u.
DFT total energy = -5.453 eV per atom
Distance to the lowest polymorph of the same formula = 1.8 meV per atom


A relaxed Al3Zn5 crystal. Source: Alexandria via LeMat-Bulk, functional PBE.

Cell lengths 5.5702, 5.5702, 14.0353 Å; angles 90.00, 90.00, 120.00 degrees
With the nearest neighbours (Å) after each atom.
Space group R-3m (No. 166, hexagonal axes)
Inequivalent atoms, fractional coordinates:
Al 0.0000 0.5000 0.0000 (multiplicity 9)  4 Al 2.79, 8 Zn 2.79-2.84
Zn 0.0000 0.0000 0.0000 (multiplicity 3)  6 Al 2.79, 6 Zn 2.84
Zn 0.0000 0.0000 0.5000 (multiplicity 3)  6 Zn 2.79, 6 Al 2.84
Zn 0.0000 0.5000 0.5000 (multiplicity 9)  8 Zn 2.79-2.84, 4 Al 2.84

Results
Density of states at the Fermi level = 3.3 states/eV/f.u.
DFT total energy = -2.159 eV per atom


Calculated values (μB/cell) of M_tot for the records, taken in order: 0.00, 0.00.